The following is a DFT calculation (PBE) of a geometry-optimized RbSrZr3 structure.

The crystal system is cubic. The value obtained for the excess energy over the best structure of this formula in the dataset is 0 meV/atom. For the density of states at the Fermi level, the calculation gives 7.31 states/eV per cell. The value obtained for the energy of formation is 8.9 eV/f.u.

The space group is Pm-3m (No. 221) and the conventional cell measures 5.357, 5.357 and 5.357 Å, with angles of 90.00, 90.00 and 90.00 degrees. The inequivalent atoms are Rb at (0.000, 0.000, 0.000), Sr at (0.500, 0.500, 0.500) and Zr at (0.000, 0.000, 0.500).

=====

The following is a DFT calculation (PBE) of a geometry-optimized RbSrZr2 structure.

The crystal system is tetragonal. The value obtained for the excess energy over the best structure of this formula in the dataset is 0 meV/atom. For the density of states at the Fermi level, the calculation gives 21.15 states/eV per cell. The value obtained for the energy of formation is 4.5 eV/f.u.

The space group is I-42d (No. 122) and the conventional cell measures 4.479, 4.479 and 26.032 Å, with angles of 90.00, 90.00 and 90.00 degrees. The inequivalent atoms are Rb at (0.000, 0.000, 0.000), Sr at (0.000, 0.000, 0.500) and Zr at (0.244, 0.250, 0.625).

=====

The following is a DFT calculation (PBE) of a geometry-optimized Rb3Ta structure.

The crystal system is cubic. For the density of states at the Fermi level, the calculation gives 33.12 states/eV per cell. The value obtained for the energy of formation is 5.8 eV/f.u.

The space group is Fm-3m (No. 225) and the conventional cell measures 9.402, 9.402 and 9.402 Å, with angles of 90.00, 90.00 and 90.00 degrees. The inequivalent atoms are Rb at (0.000, 0.000, 0.000), Rb at (0.250, 0.250, 0.250) and Ta at (0.000, 0.000, 0.500).

=====

The following is a DFT calculation (PBE) of a geometry-optimized RbTa4 structure.

The crystal system is cubic. For the density of states at the Fermi level, the calculation gives 7.01 states/eV per cell. The value obtained for the energy of formation is 15.7 eV/f.u.

The space group is Pm-3m (No. 221) and the conventional cell measures 4.752, 4.752 and 4.752 Å, with angles of 90.00, 90.00 and 90.00 degrees. The inequivalent atoms are Rb at (0.000, 0.000, 0.000), Ta at (0.000, 0.000, 0.500) and Ta at (0.500, 0.500, 0.500).